Entry 1:
# PmSc2TeO8 PBE optimized geometry
data_PmSc2TeO8
_symmetry_space_group_name_H-M 'C m m m'
_symmetry_Int_Tables_number 65
_symmetry_space_group_name_Hall '-C 2 2'
_cell_length_a 6.814
_cell_length_b 6.834
_cell_length_c 6.814
_cell_angle_alpha 90.00
_cell_angle_beta 90.00
_cell_angle_gamma 90.00
loop_
_atom_site_label
_atom_site_type_symbol
_atom_site_fract_x
_atom_site_fract_y
_atom_site_fract_z
Pm1 Pm 0.000 0.000 0.000
Sc1 Sc 0.000 0.500 0.262
Te1 Te 0.000 0.000 0.500
O1 O 0.000 0.193 0.290
O2 O 0.169 0.500 0.000
O3 O 0.211 0.500 0.500
# Mass density = 5.13 g/cm³
# Energy relative to the elements, uncorrected = -2.45 eV/atom


Entry 2:
# Li2ZnSi PBE optimized geometry
data_Li2ZnSi
_symmetry_space_group_name_H-M 'C 1 m 1'
_symmetry_Int_Tables_number 8
_symmetry_space_group_name_Hall 'C -2y'
_cell_length_a 8.901
_cell_length_b 2.665
_cell_length_c 4.949
_cell_angle_alpha 90.00
_cell_angle_beta 96.81
_cell_angle_gamma 90.00
loop_
_atom_site_label
_atom_site_type_symbol
_atom_site_fract_x
_atom_site_fract_y
_atom_site_fract_z
Li1 Li 0.000 0.000 0.000
Li2 Li 0.229 0.000 0.735
Zn1 Zn 0.247 0.500 0.248
Si1 Si 0.487 0.000 0.494
# Mass density = 3.06 g/cm³
# Energy relative to the elements, uncorrected = -0.14 eV/atom


Entry 3:
# Mg2Te PBE optimized geometry
data_Mg2Te
_symmetry_space_group_name_H-M 'P 6/m m m'
_symmetry_Int_Tables_number 191
_symmetry_space_group_name_Hall '-P 6 2'
_cell_length_a 4.8437
_cell_length_b 4.8437
_cell_length_c 3.9426
_cell_angle_alpha 90.00
_cell_angle_beta 90.00
_cell_angle_gamma 120.00
loop_
_atom_site_label
_atom_site_type_symbol
_atom_site_fract_x
_atom_site_fract_y
_atom_site_fract_z
Mg1 Mg 0.3333 0.6667 0.0000
Te1 Te 0.0000 0.0000 0.5000
# Mass density = 3.65 g/cm³
# Energy relative to the elements, uncorrected = 0.03 eV/atom


Entry 4:
# SrMg2SnB PBE optimized geometry
data_SrMg2SnB
_symmetry_space_group_name_H-M 'P 4/m m m'
_symmetry_Int_Tables_number 123
_symmetry_space_group_name_Hall '-P 4 2'
_cell_length_a 4.800
_cell_length_b 4.800
_cell_length_c 5.102
_cell_angle_alpha 90.00
_cell_angle_beta 90.00
_cell_angle_gamma 90.00
loop_
_atom_site_label
_atom_site_type_symbol
_atom_site_fract_x
_atom_site_fract_y
_atom_site_fract_z
Sr1 Sr 0.000 0.000 0.000
Mg1 Mg 0.000 0.500 0.500
Sn1 Sn 0.500 0.500 0.000
B1 B 0.500 0.500 0.500
# ΔH_f (0 K) = 0.2138 eV/atom
# Mass density = 3.75 g/cm³


Entry 5:
# HgPb2S PBE optimized geometry
data_HgPb2S
_symmetry_space_group_name_H-M 'R 3 m'
_symmetry_Int_Tables_number 160
_symmetry_space_group_name_Hall 'R 3 -2"'
_cell_length_a 3.8003
_cell_length_b 3.8003
_cell_length_c 27.0672
_cell_angle_alpha 90.00
_cell_angle_beta 90.00
_cell_angle_gamma 120.00
loop_
_atom_site_label
_atom_site_type_symbol
_atom_site_fract_x
_atom_site_fract_y
_atom_site_fract_z
Hg1 Hg 0.0000 0.0000 0.0000
Pb1 Pb 0.0000 0.0000 0.5714
Pb2 Pb 0.0000 0.0000 0.7621
S1 S 0.0000 0.0000 0.1682
# Energy above the lowest structure with this stoichiometry = 6 meV per atom
# Mass density = 9.52 g/cm³
# Energy relative to the elements, uncorrected = -0.14 eV/atom


Entry 6:
# Hg4Bi3H4 PBE optimized geometry
data_Hg4Bi3H4
_symmetry_space_group_name_H-M 'I m m m'
_symmetry_Int_Tables_number 71
_symmetry_space_group_name_Hall '-I 2 2'
_cell_length_a 3.568
_cell_length_b 7.878
_cell_length_c 17.517
_cell_angle_alpha 90.00
_cell_angle_beta 90.00
_cell_angle_gamma 90.00
loop_
_atom_site_label
_atom_site_type_symbol
_atom_site_fract_x
_atom_site_fract_y
_atom_site_fract_z
Hg1 Hg 0.000 0.000 0.173
Hg2 Hg 0.000 0.178 0.500
Bi1 Bi 0.000 0.000 0.000
Bi2 Bi 0.000 0.500 0.170
H1 H 0.000 0.155 0.342
# VASP energy = -44.1 eV for the cell shown
# Mass density = 9.67 g/cm³


Entry 7:
# ErThN2 PBE optimized geometry
data_ErThN2
_symmetry_space_group_name_H-M 'R 3 m'
_symmetry_Int_Tables_number 160
_symmetry_space_group_name_Hall 'R 3 -2"'
_cell_length_a 3.4987
_cell_length_b 3.4987
_cell_length_c 18.2168
_cell_angle_alpha 90.00
_cell_angle_beta 90.00
_cell_angle_gamma 120.00
loop_
_atom_site_label
_atom_site_type_symbol
_atom_site_fract_x
_atom_site_fract_y
_atom_site_fract_z
Er1 Er 0.0000 0.0000 0.0000
Th1 Th 0.0000 0.0000 0.8261
N1 N 0.0000 0.0000 0.2432
N2 N 0.0000 0.0000 0.4078
# Mass density = 11.02 g/cm³
# Energy relative to the elements, uncorrected = -1.37 eV/atom


Entry 8:
# Na3Sr6Ni PBE optimized geometry
data_Na3Sr6Ni
_symmetry_space_group_name_H-M 'P 1 21/c 1'
_symmetry_Int_Tables_number 14
_symmetry_space_group_name_Hall '-P 2ybc'
_cell_length_a 7.067
_cell_length_b 10.283
_cell_length_c 12.964
_cell_angle_alpha 90.00
_cell_angle_beta 102.05
_cell_angle_gamma 90.00
loop_
_atom_site_label
_atom_site_type_symbol
_atom_site_fract_x
_atom_site_fract_y
_atom_site_fract_z
Na1 Na 0.000 0.000 0.000
Na2 Na 0.361 0.001 0.864
Sr1 Sr 0.187 0.000 0.312
Sr2 Sr 0.296 0.198 0.595
Sr3 Sr 0.296 0.698 0.095
Ni1 Ni 0.500 0.000 0.500
# ΔH_f (0 K) = 0.0338 eV/atom
# Mass density = 2.36 g/cm³


Entry 9:
# LaPrSm5Ho2 PBE optimized geometry
data_LaPrSm5Ho2
_symmetry_space_group_name_H-M 'I 4/m c m'
_symmetry_Int_Tables_number 140
_symmetry_space_group_name_Hall '-I 4 2c'
_cell_length_a 8.764
_cell_length_b 8.764
_cell_length_c 16.127
_cell_angle_alpha 90.00
_cell_angle_beta 90.00
_cell_angle_gamma 90.00
loop_
_atom_site_label
_atom_site_type_symbol
_atom_site_fract_x
_atom_site_fract_y
_atom_site_fract_z
La1 La 0.000 0.000 0.250
Pr1 Pr 0.000 0.500 0.250
Sm1 Sm 0.000 0.000 0.000
Sm2 Sm 0.197 0.303 0.133
Ho1 Ho 0.120 0.380 0.500
# ΔH_f (0 K) = 0.2696 eV/atom
# Mass density = 7.30 g/cm³


Entry 10:
# Nb5H3 PBE optimized geometry
data_Nb5H3
_symmetry_space_group_name_H-M 'P 1'
_symmetry_Int_Tables_number 1
_symmetry_space_group_name_Hall 'P 1'
_cell_length_a 2.945
_cell_length_b 5.340
_cell_length_c 7.250
_cell_angle_alpha 82.48
_cell_angle_beta 79.21
_cell_angle_gamma 80.49
loop_
_atom_site_label
_atom_site_type_symbol
_atom_site_fract_x
_atom_site_fract_y
_atom_site_fract_z
Nb1 Nb 0.000 0.000 0.000
Nb2 Nb 0.122 0.201 0.326
Nb3 Nb 0.455 0.500 0.996
Nb4 Nb 0.592 0.689 0.333
Nb5 Nb 0.813 0.828 0.683
H1 H 0.048 0.523 0.501
H2 H 0.357 0.949 0.519
H3 H 0.556 0.154 0.824
# VASP energy = -60.0 eV for the cell shown
# Mass density = 7.07 g/cm³


Entry 11:
# NaLi8Zn2 PBE optimized geometry
data_NaLi8Zn2
_symmetry_space_group_name_H-M 'C 1 2/m 1'
_symmetry_Int_Tables_number 12
_symmetry_space_group_name_Hall '-C 2y'
_cell_length_a 7.710
_cell_length_b 12.484
_cell_length_c 5.059
_cell_angle_alpha 90.00
_cell_angle_beta 113.07
_cell_angle_gamma 90.00
loop_
_atom_site_label
_atom_site_type_symbol
_atom_site_fract_x
_atom_site_fract_y
_atom_site_fract_z
Na1 Na 0.000 0.000 0.000
Li1 Li 0.000 0.243 0.000
Li2 Li 0.084 0.500 0.803
Li3 Li 0.206 0.125 0.613
Zn1 Zn 0.000 0.313 0.500
# ΔH_f (0 K) = 0.0087 eV/atom
# Mass density = 1.55 g/cm³


Entry 12:
# CaPr5Ge4 PBE optimized geometry
data_CaPr5Ge4
_symmetry_space_group_name_H-M 'C 1 2/m 1'
_symmetry_Int_Tables_number 12
_symmetry_space_group_name_Hall '-C 2y'
_cell_length_a 15.837
_cell_length_b 5.206
_cell_length_c 7.172
_cell_angle_alpha 90.00
_cell_angle_beta 92.51
_cell_angle_gamma 90.00
loop_
_atom_site_label
_atom_site_type_symbol
_atom_site_fract_x
_atom_site_fract_y
_atom_site_fract_z
Ca1 Ca 0.000 0.000 0.000
Pr1 Pr 0.000 0.000 0.500
Pr2 Pr 0.158 0.500 0.991
Pr3 Pr 0.168 0.500 0.512
Ge1 Ge 0.010 0.500 0.254
Ge2 Ge 0.180 0.000 0.753
# ΔH_f (0 K) = -0.6070 eV/atom
# Mass density = 5.82 g/cm³


Which value of mass density does entry 2 give? 3.06 g/cm³